## P
The following is a PBE calculation of an optimized crystal structure of Ba2MgInPt, from the Alexandria database.

Unit cell a=6.1788 b=6.1788 c=5.2314 alpha=90.00 beta=90.00 gamma=90.00
Closest atoms and distances in Å follow each position.
Element x y z (fractional)
Ba1 0.0000 0.5000 0.0000  2 Pt 3.09
Ba2 0.5000 0.0000 0.0000  2 Pt 3.09
Mg1 0.0000 0.0000 0.5000  8 Ba 4.05, 4 In 4.37
In1 0.5000 0.5000 0.5000  2 Pt 2.62
Pt1 0.5000 0.5000 0.0000  2 In 2.62

Properties
Size of the total moment   0.00 μB/f.u.
D(E_F)   4.10 states/eV/f.u.

## Q
The following is a PBE calculation of an optimized crystal structure of Ba2MgInPt, from the Alexandria database.

Unit cell a=6.1330 b=6.1330 c=5.1050 alpha=90.00 beta=90.00 gamma=90.00
Closest atoms and distances in Å follow each position.
Element x y z (fractional)
Ba1 0.0000 0.5000 0.0000  2 Pt 3.07
Ba2 0.5000 0.0000 0.0000  2 Pt 3.07
Mg1 0.0000 0.0000 0.5000  2 Pt 2.55
In1 0.5000 0.5000 0.5000  8 Ba 3.99, 4 Mg 4.34
Pt1 0.0000 0.0000 0.0000  2 Mg 2.55

Properties
Size of the total moment   0.00 μB/f.u.
D(E_F)   4.39 states/eV/f.u.

Which structure is most stable, and how do the rest compare? From most to least stable: Q, P.

## P
The following is a PBE calculation of an optimized crystal structure of Ba2MgInRh, from the Alexandria database.

Unit cell a=6.0284 b=6.0284 c=5.0443 alpha=90.00 beta=90.00 gamma=90.00
Closest atoms and distances in Å follow each position.
Element x y z (fractional)
Ba1 0.0000 0.5000 0.0000  2 Rh 3.01
Ba2 0.5000 0.0000 0.0000  2 Rh 3.01
Mg1 0.0000 0.0000 0.5000  2 Rh 2.52
In1 0.5000 0.5000 0.5000  8 Ba 3.93, 4 Mg 4.26
Rh1 0.0000 0.0000 0.0000  2 Mg 2.52

Properties
Size of the total moment   0.00 μB/f.u.
D(E_F)   5.11 states/eV/f.u.

## Q
The following is a PBE calculation of an optimized crystal structure of Ba2MgInRh, from the Alexandria database.

Unit cell a=6.0300 b=6.0300 c=5.2545 alpha=90.00 beta=90.00 gamma=90.00
Closest atoms and distances in Å follow each position.
Element x y z (fractional)
Ba1 0.0000 0.5000 0.0000  2 Rh 3.01
Ba2 0.5000 0.0000 0.0000  2 Rh 3.01
Mg1 0.0000 0.0000 0.5000  8 Ba 4.00, 4 In 4.26
In1 0.5000 0.5000 0.5000  2 Rh 2.63
Rh1 0.5000 0.5000 0.0000  2 In 2.63

Properties
Size of the total moment   0.00 μB/f.u.
D(E_F)   3.89 states/eV/f.u.

Which structure is most stable, and how do the rest compare? From most to least stable: Q, P.

## P
The following is a PBE calculation of an optimized crystal structure of BaMg2InRu, from the Alexandria database.

Unit cell a=5.1402 b=5.1402 c=5.2494 alpha=90.00 beta=90.00 gamma=90.00
Closest atoms and distances in Å follow each position.
Element x y z (fractional)
Ba1 0.0000 0.0000 0.0000  4 In 3.63, 8 Mg 3.67
Mg1 0.0000 0.5000 0.5000  2 Ru 2.57
Mg2 0.5000 0.0000 0.5000  2 Ru 2.57
In1 0.5000 0.5000 0.0000  2 Ru 2.62
Ru1 0.5000 0.5000 0.5000  4 Mg 2.57, 2 In 2.62

Properties
Size of the total moment   0.00 μB/f.u.
D(E_F)   1.78 states/eV/f.u.

## Q
The following is a PBE calculation of an optimized crystal structure of BaMg2InRu, from the Alexandria database.

Unit cell a=5.1949 b=5.1949 c=5.5713 alpha=90.00 beta=90.00 gamma=90.00
Closest atoms and distances in Å follow each position.
Element x y z (fractional)
Ba1 0.0000 0.0000 0.0000  2 Ru 2.79
Mg1 0.0000 0.5000 0.5000  2 Ru 2.60
Mg2 0.5000 0.0000 0.5000  2 Ru 2.60
In1 0.5000 0.5000 0.0000  4 Ba 3.67, 8 Mg 3.81
Ru1 0.0000 0.0000 0.5000  4 Mg 2.60, 2 Ba 2.79

Properties
Size of the total moment   0.00 μB/f.u.
D(E_F)   4.61 states/eV/f.u.

Which structure is most stable, and how do the rest compare? From most to least stable: P, Q.